First-principles (PBE) data for crystalline NdSm5Tm3 at its relaxed geometry, as listed in Alexandria via LeMat-Bulk.

Output
The calculated density is 7.288 Mg/m³. For the relative energy among the computed polymorphs, the calculation gives 2.125 eV per formula unit. As for the symmetry: C2/m, No. 12.

Lattice parameters (Å, degrees): 9.4070 9.4070 12.3127 126.43 126.43 51.23
Element x y z (fractional)
1 Nd 0.2367 0.2367 0.1341
2 Nd 0.7633 0.7633 0.8659
3 Sm 0.1323 0.1323 0.5731
4 Sm 0.1408 0.7330 0.2242
5 Sm 0.2670 0.8592 0.7758
6 Sm 0.3034 0.3034 0.9365
7 Sm 0.3196 0.6804 0.0000
8 Sm 0.6804 0.3196 0.0000
9 Sm 0.6966 0.6966 0.0635
10 Sm 0.7330 0.1408 0.2242
11 Sm 0.8592 0.2670 0.7758
12 Sm 0.8677 0.8677 0.4269
13 Tm 0.0000 0.0000 0.0000
14 Tm 0.1712 0.1712 0.3388
15 Tm 0.3850 0.3850 0.6817
16 Tm 0.5000 0.5000 0.5000
17 Tm 0.6150 0.6150 0.3183
18 Tm 0.8288 0.8288 0.6612

First-principles (PBE) data for crystalline Nd6SmTm4 at its relaxed geometry, as listed in Alexandria via LeMat-Bulk.

Output
The calculated density is 7.358 Mg/m³. For the relative energy among the computed polymorphs, the calculation gives 2.214 eV per formula unit. As for the symmetry: I-42m, No. 121.

Lattice parameters (Å, degrees): 9.7104 9.7104 9.7104 139.56 139.56 58.53
Element x y z (fractional)
1 Nd 0.0000 0.5000 0.5000
2 Nd 0.0130 0.6322 0.0000
3 Nd 0.3678 0.3678 0.3808
4 Nd 0.5000 0.0000 0.5000
5 Nd 0.6322 0.0130 0.0000
6 Nd 0.9870 0.9870 0.6192
7 Sm 0.0000 0.0000 0.0000
8 Tm 0.1990 0.1990 0.6434
9 Tm 0.4444 0.8010 0.0000
10 Tm 0.5556 0.5556 0.3566
11 Tm 0.8010 0.4444 0.0000

First-principles (PBE) data for crystalline Nd2Sm4Tm3 at its relaxed geometry, as listed in Alexandria via LeMat-Bulk.

Output
The calculated density is 7.870 Mg/m³. For the relative energy among the computed polymorphs, the calculation gives 0.327 eV per formula unit. As for the symmetry: C2/c, No. 15.

Lattice parameters (Å, degrees): 10.0311 10.0311 6.2025 94.90 94.90 71.76
Element x y z (fractional)
1 Nd 0.0232 0.7380 0.6799
2 Nd 0.2620 0.9768 0.8201
3 Nd 0.7380 0.0232 0.1799
4 Nd 0.9768 0.2620 0.3201
5 Sm 0.0745 0.3553 0.8470
6 Sm 0.3113 0.5929 0.9865
7 Sm 0.3553 0.0745 0.3470
8 Sm 0.4071 0.6887 0.5135
9 Sm 0.5929 0.3113 0.4865
10 Sm 0.6447 0.9255 0.6530
11 Sm 0.6887 0.4071 0.0135
12 Sm 0.9255 0.6447 0.1530
13 Tm 0.0997 0.9003 0.2500
14 Tm 0.2346 0.4330 0.4144
15 Tm 0.4330 0.2346 0.9144
16 Tm 0.5670 0.7654 0.0856
17 Tm 0.7654 0.5670 0.5856
18 Tm 0.9003 0.0997 0.7500

First-principles (PBE) data for crystalline NdSm4Tm15 at its relaxed geometry, as listed in Alexandria via LeMat-Bulk.

Output
The calculated density is 8.802 Mg/m³. As for the symmetry: P4/mmm, No. 123.

Lattice parameters (Å, degrees): 4.9889 4.9889 24.8601 90.00 90.00 90.00
Element x y z (fractional)
1 Nd 0.0000 0.0000 0.0000
2 Sm 0.0000 0.0000 0.2001
3 Sm 0.0000 0.0000 0.4001
4 Sm 0.0000 0.0000 0.5999
5 Sm 0.0000 0.0000 0.7999
6 Tm 0.0000 0.5000 0.1005
7 Tm 0.0000 0.5000 0.3001
8 Tm 0.0000 0.5000 0.5000
9 Tm 0.0000 0.5000 0.6999
10 Tm 0.0000 0.5000 0.8995
11 Tm 0.5000 0.0000 0.1005
12 Tm 0.5000 0.0000 0.3001
13 Tm 0.5000 0.0000 0.5000
14 Tm 0.5000 0.0000 0.6999
15 Tm 0.5000 0.0000 0.8995
16 Tm 0.5000 0.5000 0.0000
17 Tm 0.5000 0.5000 0.2003
18 Tm 0.5000 0.5000 0.4000
19 Tm 0.5000 0.5000 0.6000
20 Tm 0.5000 0.5000 0.7997

Per-record total DFT energy (no corrections), eV/cell: -76.004, -47.819, -82.095, -90.196